First-principles (GGA-PBE) data for Ca2Ga2HgRh5 after structural relaxation, as listed in Alexandria.

Cell and atoms, written as POSCAR:
```
Ca2Ga2HgRh5
1.0
9.904 0.000 0.000
0.000 9.904 0.000
0.000 0.000 3.603
Ca Ga Hg Rh
4 4 2 10
direct
0.175 0.325 0.000 Ca
0.325 0.825 0.000 Ca
0.675 0.175 0.000 Ca
0.825 0.675 0.000 Ca
0.123 0.623 0.000 Ga
0.377 0.123 0.000 Ga
0.623 0.877 0.000 Ga
0.877 0.377 0.000 Ga
0.000 0.000 0.000 Hg
0.500 0.500 0.000 Hg
0.000 0.500 0.500 Rh
0.067 0.789 0.500 Rh
0.211 0.067 0.500 Rh
0.289 0.567 0.500 Rh
0.433 0.289 0.500 Rh
0.500 0.000 0.500 Rh
0.567 0.711 0.500 Rh
0.711 0.433 0.500 Rh
0.789 0.933 0.500 Rh
0.933 0.211 0.500 Rh
```

Results
As for the uncorrected energy: -103.553 eV for the cell shown. The calculation puts the total magnetization at 0.00 μB/cell. Its formation energy is -0.466 eV per atom. The density of states at the Fermi level comes out at 10.273 states/eV per cell. Its symmetry is No. 127.